## Pr2NpSi (PBE)

Data for a relaxed structure of Pr2NpSi.

Computed properties:
Symmetry = R-3m (166)

Unit cell a=11.206 b=11.206 c=11.206 alpha=18.22 beta=18.22 gamma=18.22
Sites, in units of the cell vectors:
Pr (0.102, 0.102, 0.102)
Pr (0.898, 0.898, 0.898)
Np (0.000, 0.000, 0.000)
Si (0.500, 0.500, 0.500)



## Pr3NpSn12 (PBE)

Data for a relaxed structure of Pr3NpSn12.

Computed properties:
Energy of formation = -418.9 meV/atom
Symmetry = P4/mmm (123)

Unit cell a=4.753 b=4.753 c=19.003 alpha=90.00 beta=90.00 gamma=90.00
Sites, in units of the cell vectors:
Pr (0.000, 0.000, 0.000)
Pr (0.000, 0.000, 0.256)
Pr (0.000, 0.000, 0.744)
Np (0.000, 0.000, 0.500)
Sn (0.000, 0.500, 0.128)
Sn (0.000, 0.500, 0.381)
Sn (0.000, 0.500, 0.619)
Sn (0.000, 0.500, 0.872)
Sn (0.500, 0.000, 0.128)
Sn (0.500, 0.000, 0.381)
Sn (0.500, 0.000, 0.619)
Sn (0.500, 0.000, 0.872)
Sn (0.500, 0.500, 0.000)
Sn (0.500, 0.500, 0.254)
Sn (0.500, 0.500, 0.500)
Sn (0.500, 0.500, 0.746)



## PrNpSn2 (PBE)

Data for a relaxed structure of PrNpSn2.

Computed properties:
Energy of formation = 172.5 meV/atom
Polymorph energy (0 for the lowest one) = 48.0 kJ/mol of atoms
Symmetry = R-3m (166)

Unit cell a=12.199 b=12.199 c=12.199 alpha=15.58 beta=15.58 gamma=15.58
Sites, in units of the cell vectors:
Pr (0.000, 0.000, 0.000)
Np (0.500, 0.500, 0.500)
Sn (0.090, 0.090, 0.090)
Sn (0.910, 0.910, 0.910)



## Pr2NpSn (PBE)

Data for a relaxed structure of Pr2NpSn.

Computed properties:
Energy of formation = 287.0 meV/atom
Symmetry = R-3m (166)

Unit cell a=12.383 b=12.383 c=12.383 alpha=15.79 beta=15.79 gamma=15.79
Sites, in units of the cell vectors:
Pr (0.091, 0.091, 0.091)
Pr (0.909, 0.909, 0.909)
Np (0.000, 0.000, 0.000)
Sn (0.500, 0.500, 0.500)



What are the energy values for these records? In order: -26.2 -82.0 -25.0 -25.4 eV/cell.